1.
First-principles (PBE) data for an optimized crystal structure of Sc2Si2HgRh5, as listed in the Alexandria database.

- Calculated volume: 15.9 Å³ per atom
- M_tot: 0.00 μB/atom
- ρ: 8.981 g/cm³
- D(E_F): 0.185 states/eV/atom
- Formation energy (no corrections): -854 meV/atom

Geometry as CIF:
```
data_Sc2Si2HgRh5
_chemical_formula_sum 'Sc4 Si4 Hg2 Rh10'
_space_group_name_H-M_alt 'P 4/m b m'
_space_group_IT_number 127
_space_group_name_Hall '-P 4 2ab'
_cell_length_a 9.541
_cell_length_b 9.541
_cell_length_c 3.498
_cell_angle_alpha 90.00
_cell_angle_beta 90.00
_cell_angle_gamma 90.00
loop_
_atom_site_label
_atom_site_fract_x
_atom_site_fract_y
_atom_site_fract_z
Sc1 0.173 0.327 0.000
Si1 0.126 0.626 0.000
Hg1 0.000 0.000 0.000
Rh1 0.000 0.500 0.500
Rh2 0.071 0.785 0.500
```

2.
First-principles (PBE) data for an optimized crystal structure of TbScHgRh, as listed in the Alexandria database.

- Calculated volume: 21.2 Å³ per atom
- M_tot: 0.00 μB/atom
- ΔE_f: -2.353 eV/f.u.
- ρ: 9.927 g/cm³
- D(E_F): 0.632 states/eV/atom

Geometry as CIF:
```
data_TbScHgRh
_chemical_formula_sum 'Tb4 Sc4 Hg4 Rh4'
_space_group_name_H-M_alt 'F -4 3 m'
_space_group_IT_number 216
_space_group_name_Hall 'F -4 2 3'
_cell_length_a 6.976
_cell_length_b 6.976
_cell_length_c 6.976
_cell_angle_alpha 90.00
_cell_angle_beta 90.00
_cell_angle_gamma 90.00
loop_
_atom_site_label
_atom_site_fract_x
_atom_site_fract_y
_atom_site_fract_z
Tb1 0.000 0.000 0.000
Sc1 0.000 0.000 0.500
Hg1 0.250 0.250 0.250
Rh1 0.250 0.250 0.750
```

3.
First-principles (PBE) data for an optimized crystal structure of ScTc2HgRh, as listed in the Alexandria database.

- Calculated volume: 21.6 Å³ per atom
- M_tot: 0.22 μB/atom
- ΔE_f: 4.776 eV/f.u.
- ρ: 8.383 g/cm³
- D(E_F): 1.246 states/eV/atom

Geometry as CIF:
```
data_ScTc2HgRh
_chemical_formula_sum 'Sc1 Tc2 Hg1 Rh1'
_space_group_name_H-M_alt 'P 4/m m m'
_space_group_IT_number 123
_space_group_name_Hall '-P 4 2'
_cell_length_a 4.714
_cell_length_b 4.714
_cell_length_c 4.854
_cell_angle_alpha 90.00
_cell_angle_beta 90.00
_cell_angle_gamma 90.00
loop_
_atom_site_label
_atom_site_fract_x
_atom_site_fract_y
_atom_site_fract_z
Sc1 0.000 0.000 0.000
Tc1 0.000 0.500 0.500
Hg1 0.500 0.500 0.000
Rh1 0.000 0.000 0.500
```

4.
First-principles (PBE) data for an optimized crystal structure of TmScHgRh, as listed in the Alexandria database.

- Calculated volume: 20.6 Å³ per atom
- M_tot: 0.00 μB/atom
- Distance to the lowest polymorph of the same formula: 103 meV per atom
- ΔE_f: -2.490 eV/f.u.
- ρ: 10.430 g/cm³
- D(E_F): 0.732 states/eV/atom

Geometry as CIF:
```
data_TmScHgRh
_chemical_formula_sum 'Tm4 Sc4 Hg4 Rh4'
_space_group_name_H-M_alt 'F -4 3 m'
_space_group_IT_number 216
_space_group_name_Hall 'F -4 2 3'
_cell_length_a 6.907
_cell_length_b 6.907
_cell_length_c 6.907
_cell_angle_alpha 90.00
_cell_angle_beta 90.00
_cell_angle_gamma 90.00
loop_
_atom_site_label
_atom_site_fract_x
_atom_site_fract_y
_atom_site_fract_z
Tm1 0.000 0.000 0.000
Sc1 0.000 0.000 0.500
Hg1 0.250 0.250 0.750
Rh1 0.250 0.250 0.250
```

5.
First-principles (PBE) data for an optimized crystal structure of TmScHgRh, as listed in the Alexandria database.

- Calculated volume: 20.7 Å³ per atom
- M_tot: 0.00 μB/atom
- Distance to the lowest polymorph of the same formula: 0 meV per atom
- ΔE_f: -2.900 eV/f.u.
- ρ: 10.383 g/cm³
- D(E_F): 0.626 states/eV/atom

Geometry as CIF:
```
data_TmScHgRh
_chemical_formula_sum 'Tm1 Sc1 Hg1 Rh1'
_space_group_name_H-M_alt 'P 4 m m'
_space_group_IT_number 99
_cell_length_a 3.377
_cell_length_b 3.377
_cell_length_c 7.254
_cell_angle_alpha 90.00
_cell_angle_beta 90.00
_cell_angle_gamma 90.00
loop_
_space_group_symop_operation_xyz
'x,y,z'
'-y,x,z'
'-x,-y,z'
'y,-x,z'
'-x,y,z'
'y,x,z'
'x,-y,z'
'-y,-x,z'
loop_
_atom_site_label
_atom_site_fract_x
_atom_site_fract_y
_atom_site_fract_z
Tm1 0.000 0.000 0.000
Sc1 0.000 0.000 0.559
Hg1 0.500 0.500 0.297
Rh1 0.500 0.500 0.765
```

6.
First-principles (PBE) data for an optimized crystal structure of ZrScHgRh, as listed in the Alexandria database.

- Calculated volume: 19.6 Å³ per atom
- M_tot: 0.00 μB/atom
- ΔE_f: -2.319 eV/f.u.
- ρ: 9.314 g/cm³
- D(E_F): 0.808 states/eV/atom

Geometry as CIF:
```
data_ZrScHgRh
_chemical_formula_sum 'Zr1 Sc1 Hg1 Rh1'
_space_group_name_H-M_alt 'P 4 m m'
_space_group_IT_number 99
_cell_length_a 3.256
_cell_length_b 3.256
_cell_length_c 7.393
_cell_angle_alpha 90.00
_cell_angle_beta 90.00
_cell_angle_gamma 90.00
loop_
_space_group_symop_operation_xyz
'x,y,z'
'-y,x,z'
'-x,-y,z'
'y,-x,z'
'-x,y,z'
'y,x,z'
'x,-y,z'
'-y,-x,z'
loop_
_atom_site_label
_atom_site_fract_x
_atom_site_fract_y
_atom_site_fract_z
Zr1 0.000 0.000 0.000
Sc1 0.000 0.000 0.559
Hg1 0.500 0.500 0.289
Rh1 0.500 0.500 0.770
```

7.
First-principles (PBE) data for an optimized crystal structure of HgRhSe2, as listed in the Alexandria database.

- Calculated volume: 24.9 Å³ per atom
- M_tot: 0.00 μB/atom
- ρ: 7.679 g/cm³
- D(E_F): 0.550 states/eV/atom
- Formation energy (no corrections): -270 meV/atom

Geometry as CIF:
```
data_HgRhSe2
_chemical_formula_sum 'Hg2 Rh2 Se4'
_space_group_name_H-M_alt 'P 63/m m c'
_space_group_IT_number 194
_space_group_name_Hall '-P 6c 2c'
_cell_length_a 3.8068
_cell_length_b 3.8068
_cell_length_c 15.9007
_cell_angle_alpha 90.00
_cell_angle_beta 90.00
_cell_angle_gamma 120.00
loop_
_atom_site_label
_atom_site_fract_x
_atom_site_fract_y
_atom_site_fract_z
Hg1 0.3333 0.6667 0.2500
Rh1 0.0000 0.0000 0.0000
Se1 0.3333 0.6667 0.0769
```

8.
First-principles (PBE) data for an optimized crystal structure of HgRhSe2, as listed in the Alexandria database.

- Calculated volume: 27.7 Å³ per atom
- M_tot: 0.00 μB/atom
- ρ: 6.905 g/cm³
- D(E_F): 0.135 states/eV/atom
- Formation energy (no corrections): -110 meV/atom

Geometry as CIF:
```
data_HgRhSe2
_chemical_formula_sum 'Hg4 Rh4 Se8'
_space_group_name_H-M_alt 'C 1 2/c 1'
_space_group_IT_number 15
_cell_length_a 9.329
_cell_length_b 10.330
_cell_length_c 5.438
_cell_angle_alpha 90.00
_cell_angle_beta 122.12
_cell_angle_gamma 90.00
loop_
_space_group_symop_operation_xyz
'x,y,z'
'-x,-y,-z'
'-x,y,-z+1/2'
'x,-y,z+1/2'
'x+1/2,y+1/2,z'
'-x+1/2,-y+1/2,-z'
'-x+1/2,y+1/2,-z+1/2'
'x+1/2,-y+1/2,z+1/2'
loop_
_atom_site_label
_atom_site_fract_x
_atom_site_fract_y
_atom_site_fract_z
Hg1 0.000 0.125 0.250
Rh1 0.000 0.497 0.750
Se1 0.176 0.363 0.654
```

9.
First-principles (PBE) data for an optimized crystal structure of HgRhSe2, as listed in the Alexandria database.

- Calculated volume: 19.2 Å³ per atom
- M_tot: 0.00 μB/atom
- ρ: 10.001 g/cm³
- D(E_F): 0.612 states/eV/atom
- Formation energy (no corrections): 399 meV/atom

Geometry as CIF:
```
data_HgRhSe2
_chemical_formula_sum 'Hg1 Rh1 Se2'
_space_group_name_H-M_alt 'P 4/m m m'
_space_group_IT_number 123
_space_group_name_Hall '-P 4 2'
_cell_length_a 4.087
_cell_length_b 4.087
_cell_length_c 4.586
_cell_angle_alpha 90.00
_cell_angle_beta 90.00
_cell_angle_gamma 90.00
loop_
_atom_site_label
_atom_site_fract_x
_atom_site_fract_y
_atom_site_fract_z
Hg1 0.000 0.000 0.000
Rh1 0.500 0.500 0.000
Se1 0.000 0.500 0.500
```

10.
First-principles (PBE) data for an optimized crystal structure of HgRhSe2, as listed in the Alexandria database.

- Calculated volume: 21.9 Å³ per atom
- M_tot: 0.00 μB/atom
- ρ: 8.753 g/cm³
- D(E_F): 0.545 states/eV/atom
- Formation energy (no corrections): 2 meV/atom

Geometry as CIF:
```
data_HgRhSe2
_chemical_formula_sum 'Hg2 Rh2 Se4'
_space_group_name_H-M_alt 'C m m m'
_space_group_IT_number 65
_space_group_name_Hall '-C 2 2'
_cell_length_a 4.353
_cell_length_b 4.363
_cell_length_c 9.218
_cell_angle_alpha 90.00
_cell_angle_beta 90.00
_cell_angle_gamma 90.00
loop_
_atom_site_label
_atom_site_fract_x
_atom_site_fract_y
_atom_site_fract_z
Hg1 0.000 0.000 0.000
Rh1 0.000 0.000 0.500
Se1 0.000 0.500 0.331
```

11.
First-principles (PBE) data for an optimized crystal structure of HgRhSe2, as listed in the Alexandria database.

- Calculated volume: 22.7 Å³ per atom
- M_tot: 0.00 μB/atom
- ρ: 8.448 g/cm³
- D(E_F): 0.737 states/eV/atom
- Formation energy (no corrections): -132 meV/atom

Geometry as CIF:
```
data_HgRhSe2
_chemical_formula_sum 'Hg2 Rh2 Se4'
_space_group_name_H-M_alt 'C 1 m 1'
_space_group_IT_number 8
_cell_length_a 10.684
_cell_length_b 3.575
_cell_length_c 5.024
_cell_angle_alpha 90.00
_cell_angle_beta 109.05
_cell_angle_gamma 90.00
loop_
_space_group_symop_operation_xyz
'x,y,z'
'x,-y,z'
'x+1/2,y+1/2,z'
'x+1/2,-y+1/2,z'
loop_
_atom_site_label
_atom_site_fract_x
_atom_site_fract_y
_atom_site_fract_z
Hg1 0.000 0.000 0.000
Rh1 0.244 0.500 0.006
Se1 0.173 0.000 0.646
Se2 0.329 0.000 0.361
```

12.
First-principles (PBE) data for an optimized crystal structure of HgRhSe2, as listed in the Alexandria database.

- Calculated volume: 22.0 Å³ per atom
- M_tot: 0.00 μB/atom
- ρ: 8.711 g/cm³
- D(E_F): 0.530 states/eV/atom
- Formation energy (no corrections): -269 meV/atom

Geometry as CIF:
```
data_HgRhSe2
_chemical_formula_sum 'Hg1 Rh1 Se2'
_space_group_name_H-M_alt 'P -1'
_space_group_IT_number 2
_cell_length_a 3.739
_cell_length_b 3.742
_cell_length_c 7.531
_cell_angle_alpha 76.36
_cell_angle_beta 76.85
_cell_angle_gamma 60.05
loop_
_space_group_symop_operation_xyz
'x,y,z'
'-x,-y,-z'
loop_
_atom_site_label
_atom_site_fract_x
_atom_site_fract_y
_atom_site_fract_z
Hg1 0.000 0.000 0.000
Rh1 0.500 0.500 0.500
Se1 0.218 0.225 0.321
```